Entry 1:
Zr2Be2Au, relaxed, DFT PBEsol; V = 15.24 A^3/atom; raw total energy = -6.449 eV per atom; symmetry = P4/mbm; energy of formation = -428 meV/atom
1.0
3.826 0.000 0.000
0.000 6.311 0.000
0.000 0.000 6.311
Be Au Zr
4 2 4
Cartesian
0.000 2.369 5.525
0.000 5.525 3.942
0.000 3.942 0.786
0.000 0.786 2.369
0.000 0.000 0.000
0.000 3.156 3.156
1.913 1.081 4.237
1.913 4.237 5.230
1.913 5.230 2.074
1.913 2.074 1.081


Entry 2:
SrWAu, relaxed, DFT PBEsol; V = 22.55 A^3/atom; raw total energy = -5.870 eV per atom; symmetry = Imm2; energy of formation = 654 meV/atom
1.0
-2.868 0.357 0.152
-0.424 -1.883 -3.582
1.162 -4.279 4.424
Au Sr W
1 1 1
Cartesian
-2.091 -5.404 0.778
-1.803 -2.402 -0.835
-0.365 -3.805 2.044


> Which of these has the highest energy of formation?

SrWAu